The following is a DFT calculation (PBE) of a geometry-optimized BaIn2GaHg structure.

Summary:
Energy above the lowest structure with this stoichiometry: 392 meV/atom
Calculated formation energy: 0.0313 eV/atom
Total DFT energy (no corrections): -10.57 eV for the cell shown

abc: 5.733 5.733 5.229
angles: 90.00 90.00 90.00
Space group P4/mmm (No. 123)
Unique sites:
Ba  0.000  0.000  0.000 x1
In  0.000  0.500  0.500 x2
Ga  0.500  0.500  0.000 x1
Hg  0.500  0.500  0.500 x1